(1)
Below is an optimized crystal structure of Re3Tc, with properties calculated at the PBE level.

The magnetic moment comes out at 0.00 μB per formula unit. As for the uncorrected energy: -0.87598 Ry per atom. The value obtained for the density of states at the Fermi level is 12.18 states/eV per cell. The value obtained for the theoretical density is 18.34 g/cm3. The energy above the lowest structure with this stoichiometry comes out at 10 meV/atom. The calculation puts the formation energy at 1 kJ/mol of atoms.

The structure belongs to space group Pnma (No. 62); the cell edges are 4.7987, 8.9371 and 5.5452 Å and the angles 90.00°, 90.00° and 90.00°. The asymmetric unit holds Re at (0.0829, 0.2500, 0.1252), Re at (0.2502, 0.0018, 0.8751) and Tc at (0.0829, 0.2500, 0.6248).

(2)
Below is an optimized crystal structure of Re5Tc, with properties calculated at the PBE level.

The magnetic moment comes out at 0.00 μB per formula unit. As for the uncorrected energy: -0.88442 Ry per atom. The value obtained for the density of states at the Fermi level is 11.53 states/eV per cell. The value obtained for the theoretical density is 19.05 g/cm3. The energy above the lowest structure with this stoichiometry comes out at 72 meV/atom. The calculation puts the formation energy at 7 kJ/mol of atoms.

The structure belongs to space group Cmmm (No. 65); the cell edges are 3.9226, 11.7234 and 3.9019 Å and the angles 90.00°, 90.00° and 90.00°. The asymmetric unit holds Re at (0.0000, 0.0000, 0.0000), Re at (0.0000, 0.1667, 0.5000), Re at (0.0000, 0.3338, 0.0000) and Tc at (0.0000, 0.5000, 0.5000).

(3)
Below is an optimized crystal structure of ReTc2, with properties calculated at the PBE level.

The magnetic moment comes out at 0.00 μB per formula unit. As for the uncorrected energy: -0.80806 Ry per atom. The value obtained for the density of states at the Fermi level is 5.77 states/eV per cell. The value obtained for the theoretical density is 14.34 g/cm3. The energy above the lowest structure with this stoichiometry comes out at 66 meV/atom. The calculation puts the formation energy at 6 kJ/mol of atoms.

The structure belongs to space group Immm (No. 71); the cell edges are 2.7431, 3.9053 and 8.2624 Å and the angles 90.00°, 90.00° and 90.00°. The asymmetric unit holds Re at (0.0000, 0.0000, 0.0000) and Tc at (0.0000, 0.0000, 0.3334).

(4)
Below is an optimized crystal structure of Re2Tc, with properties calculated at the PBE level.

The magnetic moment comes out at 0.00 μB per formula unit. As for the uncorrected energy: -0.76790 Ry per atom. The value obtained for the density of states at the Fermi level is 8.99 states/eV per cell. The value obtained for the theoretical density is 14.47 g/cm3. The energy above the lowest structure with this stoichiometry comes out at 1310 meV/atom. The calculation puts the formation energy at 126 kJ/mol of atoms.

The structure belongs to space group Pa-3 (No. 205); the cell edges are 5.9991, 5.9991 and 5.9991 Å and the angles 90.00°, 90.00° and 90.00°. The asymmetric unit holds Re at (0.1167, 0.1167, 0.1167) and Tc at (0.0000, 0.0000, 0.5000).

(5)
Below is an optimized crystal structure of ReTc2, with properties calculated at the PBE level.

The magnetic moment comes out at 0.00 μB per formula unit. As for the uncorrected energy: -0.77970 Ry per atom. The value obtained for the density of states at the Fermi level is 12.43 states/eV per cell. The value obtained for the theoretical density is 13.17 g/cm3. The energy above the lowest structure with this stoichiometry comes out at 452 meV/atom. The calculation puts the formation energy at 44 kJ/mol of atoms.

The structure belongs to space group Imma (No. 74); the cell edges are 2.7294, 4.1192 and 17.1403 Å and the angles 90.00°, 90.00° and 90.00°. The asymmetric unit holds Re at (0.0000, 0.2500, 0.1158), Tc at (0.0000, 0.2500, 0.5366) and Tc at (0.0000, 0.2500, 0.6848).

(6)
Below is an optimized crystal structure of Re4Tc3, with properties calculated at the PBE level.

The magnetic moment comes out at 0.00 μB per formula unit. As for the uncorrected energy: -0.83418 Ry per atom. The value obtained for the density of states at the Fermi level is 6.94 states/eV per cell. The value obtained for the theoretical density is 16.31 g/cm3. The energy above the lowest structure with this stoichiometry comes out at 144 meV/atom. The calculation puts the formation energy at 20 kJ/mol of atoms.

The structure belongs to space group P6/mmm (No. 191); the cell edges are 4.9622, 4.9622 and 4.9603 Å and the angles 90.00°, 90.00° and 120.00°. The asymmetric unit holds Re at (0.0000, 0.0000, 0.2400), Re at (0.3333, 0.6667, 0.0000) and Tc at (0.0000, 0.5000, 0.5000).

(7)
Below is an optimized crystal structure of Re4Tc, with properties calculated at the PBE level.

The magnetic moment comes out at 0.00 μB per formula unit. As for the uncorrected energy: -0.76287 Ry per atom. The value obtained for the density of states at the Fermi level is 16.66 states/eV per cell. The value obtained for the theoretical density is 15.09 g/cm3. The energy above the lowest structure with this stoichiometry comes out at 1592 meV/atom. The calculation puts the formation energy at 159 kJ/mol of atoms.

The structure belongs to space group Im-3m (No. 229); the cell edges are 5.7028, 5.7028 and 5.7028 Å and the angles 90.00°, 90.00° and 90.00°. The asymmetric unit holds Re at (0.2500, 0.2500, 0.2500) and Tc at (0.0000, 0.0000, 0.0000).

(8)
Below is an optimized crystal structure of Re5Tc3, with properties calculated at the PBE level.

The magnetic moment comes out at 0.00 μB per formula unit. As for the uncorrected energy: -0.85269 Ry per atom. The value obtained for the density of states at the Fermi level is 15.09 states/eV per cell. The value obtained for the theoretical density is 17.11 g/cm3. The energy above the lowest structure with this stoichiometry comes out at 59 meV/atom. The calculation puts the formation energy at 6 kJ/mol of atoms.

The structure belongs to space group Cmmm (No. 65); the cell edges are 7.8104, 7.8160 and 3.8945 Å and the angles 90.00°, 90.00° and 90.00°. The asymmetric unit holds Re at (0.0000, 0.0000, 0.0000), Re at (0.2504, 0.0000, 0.5000), Re at (0.2500, 0.2500, 0.0000), Tc at (0.0000, 0.2506, 0.5000) and Tc at (0.0000, 0.5000, 0.0000).

(9)
Below is an optimized crystal structure of Re2Tc5, with properties calculated at the PBE level.

The magnetic moment comes out at 0.00 μB per formula unit. As for the uncorrected energy: -0.80543 Ry per atom. The value obtained for the density of states at the Fermi level is 29.41 states/eV per cell. The value obtained for the theoretical density is 13.95 g/cm3. The calculation puts the formation energy at 0 kJ/mol of atoms.

The structure belongs to space group C2/c (No. 15); the cell edges are 16.4081, 4.7907 and 5.2259 Å and the angles 90.00°, 90.84° and 90.00°. The asymmetric unit holds Re at (0.0716, 0.0852, 0.3926), Tc at (0.0000, 0.4181, 0.7500), Tc at (0.1434, 0.4173, 0.0348) and Tc at (0.2143, 0.0842, 0.6774).

(10)
Below is an optimized crystal structure of Re3Tc, with properties calculated at the PBE level.

The magnetic moment comes out at 0.00 μB per formula unit. As for the uncorrected energy: -0.87210 Ry per atom. The value obtained for the density of states at the Fermi level is 8.32 states/eV per cell. The value obtained for the theoretical density is 18.27 g/cm3. The energy above the lowest structure with this stoichiometry comes out at 63 meV/atom. The calculation puts the formation energy at 6 kJ/mol of atoms.

The structure belongs to space group I4/mmm (No. 139); the cell edges are 3.9045, 3.9045 and 7.8287 Å and the angles 90.00°, 90.00° and 90.00°. The asymmetric unit holds Re at (0.0000, 0.0000, 0.0000), Re at (0.0000, 0.5000, 0.2500) and Tc at (0.0000, 0.0000, 0.5000).

(11)
Below is an optimized crystal structure of ReTc4, with properties calculated at the PBE level.

The magnetic moment comes out at 2.25 μB per formula unit. As for the uncorrected energy: -0.65040 Ry per atom. The value obtained for the density of states at the Fermi level is 5.09 states/eV per cell. The value obtained for the theoretical density is 9.61 g/cm3. The energy above the lowest structure with this stoichiometry comes out at 1865 meV/atom. The calculation puts the formation energy at 187 kJ/mol of atoms.

The structure belongs to space group Pm-3m (No. 221); the cell edges are 4.6402, 4.6402 and 4.6402 Å and the angles 90.00°, 90.00° and 90.00°. The asymmetric unit holds Re at (0.0000, 0.0000, 0.0000), Tc at (0.0000, 0.0000, 0.5000) and Tc at (0.5000, 0.5000, 0.5000).

(12)
Below is an optimized crystal structure of ReTc2, with properties calculated at the PBE level.

The magnetic moment comes out at 0.00 μB per formula unit. As for the uncorrected energy: -0.79617 Ry per atom. The value obtained for the density of states at the Fermi level is 3.97 states/eV per cell. The value obtained for the theoretical density is 14.03 g/cm3. The energy above the lowest structure with this stoichiometry comes out at 228 meV/atom. The calculation puts the formation energy at 22 kJ/mol of atoms.

The structure belongs to space group P6_3/mmc (No. 194); the cell edges are 5.0455, 5.0455 and 8.2070 Å and the angles 90.00°, 90.00° and 120.00°. The asymmetric unit holds Re at (0.3333, 0.6667, 0.0722), Tc at (0.0000, 0.0000, 0.0000) and Tc at (0.1744, 0.3489, 0.7500).